Here is K2SrAs at its PBEsol-relaxed geometry from the Alexandria database. Energies are from SCAN.

Summary:
The density of states at the Fermi level is 3.15 states/eV/cell. The calculation puts the formation energy at -116.8 meV per atom. The raw total energy is -14.90 eV per atom.

Cell: 4.7878 4.7878 6.5846 Å, 90.00 90.00 90.00°
Space group P4/mmm (No. 123)
Unique sites:
1 K 0.0000 0.0000 0.2106
2 Sr 0.5000 0.5000 0.5000
3 As 0.5000 0.5000 0.0000